Record 1
## AgTeW4 (PBE-GGA)

Data for AgTeW4 after structural relaxation.

Cell lengths 5.406, 5.406, 5.406 Å; angles 60.00, 60.00, 60.00 degrees
Sites, in units of the cell vectors:
Ag: 0.000 0.000 0.000
Te: 0.750 0.750 0.750
W: 0.372 0.372 0.372
W: 0.372 0.372 0.885
W: 0.372 0.885 0.372
W: 0.885 0.372 0.372

Calculated values
Formation energy (no corrections) = 0.891 eV/atom
Calculated volume = 111.74 Å³ per cell
ρ = 14.43 g/cm3
DOS(E_F) = 0.99 states/eV/atom

Record 2
## AgTe2W (PBE-GGA)

Data for AgTe2W after structural relaxation.

Cell lengths 3.167, 3.167, 9.736 Å; angles 90.00, 90.00, 90.00 degrees
Sites, in units of the cell vectors:
Ag: 0.000 0.000 0.000
Te: 0.000 0.000 0.628
Te: 0.500 0.500 0.236
W: 0.500 0.500 0.798

Calculated values
Formation energy (no corrections) = 0.465 eV/atom
Calculated volume = 97.65 Å³ per cell
ρ = 9.30 g/cm3
DOS(E_F) = 0.65 states/eV/atom

Record 3
## AgTe3W (PBE-GGA)

Data for AgTe3W after structural relaxation.

Cell lengths 5.324, 5.324, 5.324 Å; angles 90.00, 90.00, 90.00 degrees
Sites, in units of the cell vectors:
Ag: 0.000 0.000 0.000
Te: 0.000 0.500 0.500
Te: 0.500 0.000 0.500
Te: 0.500 0.500 0.000
W: 0.500 0.500 0.500

Calculated values
Formation energy (no corrections) = 0.703 eV/atom
Calculated volume = 150.91 Å³ per cell
ρ = 7.42 g/cm3
DOS(E_F) = 0.80 states/eV/atom

Record 4
## AgTeW2 (PBE-GGA)

Data for AgTeW2 after structural relaxation.

Cell lengths 10.507, 10.507, 10.507 Å; angles 158.47, 158.47, 30.64 degrees
Sites, in units of the cell vectors:
Ag: 0.000 0.000 0.000
Ag: 0.750 0.250 0.500
Te: 0.250 0.750 0.500
Te: 0.500 0.500 0.000
W: 0.096 0.625 0.971
W: 0.375 0.346 0.471
W: 0.654 0.125 0.029
W: 0.875 0.904 0.529

Calculated values
Formation energy (no corrections) = 0.955 eV/atom
Calculated volume = 156.18 Å³ per cell
ρ = 12.83 g/cm3
DOS(E_F) = 0.41 states/eV/atom

Record 5
## Ag2TeW (PBE-GGA)

Data for Ag2TeW after structural relaxation.

Cell lengths 5.590, 5.590, 2.844 Å; angles 90.00, 90.00, 119.76 degrees
Sites, in units of the cell vectors:
Ag: 0.000 0.500 0.000
Ag: 0.500 0.000 0.000
Te: 0.000 0.000 0.500
W: 0.500 0.500 0.500

Calculated values
Formation energy (no corrections) = 0.717 eV/atom
Calculated volume = 77.12 Å³ per cell
ρ = 11.35 g/cm3
DOS(E_F) = 0.51 states/eV/atom

Record 6
## Ag2TeW (PBE-GGA)

Data for Ag2TeW after structural relaxation.

Cell lengths 4.986, 4.986, 5.630 Å; angles 96.98, 96.98, 33.83 degrees
Sites, in units of the cell vectors:
Ag: 0.000 0.000 0.000
Ag: 0.747 0.747 0.204
Te: 0.231 0.231 0.686
W: 0.483 0.483 0.477

Calculated values
Formation energy (no corrections) = 0.673 eV/atom
Calculated volume = 77.31 Å³ per cell
ρ = 11.32 g/cm3
DOS(E_F) = 0.60 states/eV/atom

Record 7
## Ag4TeW (PBE-GGA)

Data for Ag4TeW after structural relaxation.

Cell lengths 5.534, 5.534, 5.534 Å; angles 60.00, 60.00, 60.00 degrees
Sites, in units of the cell vectors:
Ag: 0.376 0.376 0.376
Ag: 0.376 0.376 0.873
Ag: 0.376 0.873 0.376
Ag: 0.873 0.376 0.376
Te: 0.000 0.000 0.000
W: 0.750 0.750 0.750

Calculated values
Formation energy (no corrections) = 0.778 eV/atom
Calculated volume = 119.86 Å³ per cell
ρ = 10.29 g/cm3
DOS(E_F) = 0.34 states/eV/atom

Record 8
## AgTeW2 (PBE-GGA)

Data for AgTeW2 after structural relaxation.

Cell lengths 4.942, 4.942, 5.138 Å; angles 101.28, 101.28, 38.46 degrees
Sites, in units of the cell vectors:
Ag: 0.000 0.000 0.000
Te: 0.228 0.228 0.721
W: 0.463 0.463 0.446
W: 0.755 0.755 0.261

Calculated values
Formation energy (no corrections) = 0.773 eV/atom
Calculated volume = 76.34 Å³ per cell
ρ = 13.12 g/cm3
DOS(E_F) = 0.61 states/eV/atom